Record 1
VASP calculation (PBE) on a relaxed structure of Zn2Ni3Pt4.

a = 3.8763 Å, b = 4.5674 Å, c = 8.0093 Å
α = 75.78°, β = 89.97°, γ = 64.89°
Site moments in Bohr magnetons follow the coordinates.
Atoms (fractional coordinates):
Pt: 0.6637 0.6727 0.8885  0.12
Pt: 0.0099 0.9798 0.3358  0.10
Pt: 0.3363 0.3273 0.1115  0.12
Pt: 0.9901 0.0202 0.6642  0.10
Zn: 0.3264 0.3473 0.7718  -0.01
Zn: 0.6736 0.6527 0.2282  -0.01
Ni: 0.3390 0.3225 0.4511  0.43
Ni: 0.6610 0.6775 0.5489  0.43
Ni: 0.0000 0.0000 0.0000  0.59

Results
Its space group is No. 12. The value obtained for the spin magnetization is 1.8 μB per cell. For the calculated formation energy, the calculation gives -0.266 eV per atom.

Record 2
VASP calculation (PBE) on a relaxed structure of Zn2NiPt8.

a = 4.1036 Å, b = 6.5829 Å, c = 6.5829 Å
α = 105.21°, β = 90.08°, γ = 90.08°
Site moments in Bohr magnetons follow the coordinates.
Atoms (fractional coordinates):
Pt: 0.0012 0.0419 0.3071  0.01
Pt: 0.9988 0.6929 0.9581  0.01
Pt: 0.5000 0.7595 0.2405  0.01
Pt: 0.4982 0.6730 0.6730  0.01
Pt: 0.5000 0.2405 0.7595  0.01
Pt: 0.9988 0.9581 0.6929  0.01
Pt: 0.5018 0.3270 0.3270  0.01
Pt: 0.0012 0.3071 0.0419  0.01
Ni: 0.5000 0.0000 0.0000  0.10
Zn: 0.0000 0.3792 0.6208  0.00
Zn: 0.0000 0.6208 0.3792  0.00

Results
Its space group is No. 12. The value obtained for the spin magnetization is 0.2 μB per cell. The polymorph energy (0 for the lowest one) comes out at 0 meV/atom. For the calculated formation energy, the calculation gives -0.056 eV per atom.

Record 3
VASP calculation (PBE) on a relaxed structure of Zn2Ni5Pt.

a = 5.1958 Å, b = 5.1958 Å, c = 8.2093 Å
α = 129.60°, β = 129.60°, γ = 89.57°
Site moments in Bohr magnetons follow the coordinates.
Atoms (fractional coordinates):
Ni: 0.2150 0.2150 0.5002  0.49
Ni: 0.4720 0.4720 0.9999  0.44
Ni: 0.7293 0.7293 0.4998  0.49
Ni: 0.4722 0.9723 0.0001  0.52
Ni: 0.9723 0.4722 0.0001  0.52
Zn: 0.7299 0.2143 0.5000  -0.01
Zn: 0.2143 0.7298 0.5000  -0.01
Pt: 0.9720 0.9720 0.0000  0.15

Results
Its space group is No. 65. The value obtained for the spin magnetization is 2.5 μB per cell. For the calculated formation energy, the calculation gives -0.160 eV per atom.

Record 4
VASP calculation (PBE) on a relaxed structure of Zn2NiPt.

a = 3.5409 Å, b = 3.9047 Å, c = 3.9047 Å
α = 90.00°, β = 90.00°, γ = 90.00°
Atoms (fractional coordinates):
Pt: 0.5000 0.5000 0.5000
Zn: 0.0000 0.0000 0.5000
Zn: 0.0000 0.5000 0.0000
Ni: 0.5000 0.0000 0.0000

Results
Its space group is No. 123. The value obtained for the spin magnetization is 0.0 μB per cell. For the calculated formation energy, the calculation gives -0.411 eV per atom.

Record 5
VASP calculation (PBE) on a relaxed structure of ZnNi12Pt3.

a = 3.6393 Å, b = 3.6393 Å, c = 14.5352 Å
α = 90.00°, β = 90.00°, γ = 90.00°
Site moments in Bohr magnetons follow the coordinates.
Atoms (fractional coordinates):
Pt: 0.0000 0.0000 0.2470  -0.38
Pt: 0.0000 0.0000 0.5000  -0.35
Pt: 0.0000 0.0000 0.7530  -0.38
Ni: 0.5000 0.0000 0.3730  -0.81
Ni: 0.5000 0.0000 0.1209  -0.58
Ni: 0.0000 0.5000 0.1209  -0.58
Ni: 0.5000 0.0000 0.6270  -0.81
Ni: 0.5000 0.0000 0.8791  -0.58
Ni: 0.5000 0.5000 0.0000  -0.48
Ni: 0.0000 0.5000 0.6270  -0.81
Ni: 0.5000 0.5000 0.2462  -0.68
Ni: 0.5000 0.5000 0.7538  -0.68
Ni: 0.0000 0.5000 0.3730  -0.81
Ni: 0.5000 0.5000 0.5000  -0.81
Ni: 0.0000 0.5000 0.8791  -0.58
Zn: 0.0000 0.0000 0.0000  0.03

Results
Its space group is No. 123. The value obtained for the spin magnetization is 8.9 μB per cell. For the calculated formation energy, the calculation gives -0.084 eV per atom.

Record 6
VASP calculation (PBE) on a relaxed structure of Zn2NiPt.

a = 4.2637 Å, b = 4.2637 Å, c = 4.2619 Å
α = 59.99°, β = 59.99°, γ = 60.00°
Atoms (fractional coordinates):
Ni: 0.4998 0.4998 0.5007
Zn: 0.0002 0.0002 0.9995
Zn: 0.2501 0.2501 0.2498
Pt: 0.7500 0.7500 0.7500

Results
Its space group is No. 216. The value obtained for the spin magnetization is 0.0 μB per cell. For the calculated formation energy, the calculation gives -0.270 eV per atom.